No. 1
VASP calculation (PBE) on crystalline ZnFePbSe3 at its relaxed geometry.

```
data_ZnFePbSe3
_chemical_formula_sum 'Zn4 Fe4 Pb4 Se12'
_cell_length_a 3.9029
_cell_length_b 13.2962
_cell_length_c 10.6265
_cell_angle_alpha 90.00
_cell_angle_beta 90.00
_cell_angle_gamma 90.00
_symmetry_space_group_name_H-M 'C m c m'
_symmetry_Int_Tables_number 63
_symmetry_space_group_name_Hall '-C 2c 2'
loop_
_atom_site_label
_atom_site_type_symbol
_atom_site_fract_x
_atom_site_fract_y
_atom_site_fract_z
Zn1 Zn 0.0000 0.0000 0.0000
Fe1 Fe 0.0000 0.4637 0.2500
Pb1 Pb 0.0000 0.2340 0.7500
Se1 Se 0.0000 0.0757 0.2500
Se2 Se 0.0000 0.3697 0.0557
```

V: 551 Å³ per cell
electronic total energy: -4.23 eV per atom

---

No. 2
VASP calculation (PBE) on crystalline HfThZn at its relaxed geometry.

```
data_HfThZn
_chemical_formula_sum 'Hf4 Th4 Zn4'
_cell_length_a 6.7648
_cell_length_b 6.7648
_cell_length_c 6.7648
_cell_angle_alpha 90.00
_cell_angle_beta 90.00
_cell_angle_gamma 90.00
_symmetry_space_group_name_H-M 'F -4 3 m'
_symmetry_Int_Tables_number 216
_symmetry_space_group_name_Hall 'F -4 2 3'
loop_
_atom_site_label
_atom_site_type_symbol
_atom_site_fract_x
_atom_site_fract_y
_atom_site_fract_z
Hf1 Hf 0.0000 0.0000 0.0000
Th1 Th 0.0000 0.0000 0.5000
Zn1 Zn 0.2500 0.2500 0.2500
```

V: 310 Å³ per cell
formation energy from the elements: 27.95 kJ/mol of atoms
ΔE to the lowest computed polymorph: 0.0 meV/atom

---

No. 3
VASP calculation (PBE) on crystalline Rb2Co3S4 at its relaxed geometry.

```
data_Rb2Co3S4
_chemical_formula_sum 'Rb8 Co12 S16'
_cell_length_a 5.3412
_cell_length_b 10.7517
_cell_length_c 12.8786
_cell_angle_alpha 90.00
_cell_angle_beta 90.00
_cell_angle_gamma 90.00
_symmetry_space_group_name_H-M 'I b a m'
_symmetry_Int_Tables_number 72
_symmetry_space_group_name_Hall '-I 2 2c'
loop_
_atom_site_label
_atom_site_type_symbol
_atom_site_fract_x
_atom_site_fract_y
_atom_site_fract_z
Rb1 Rb 0.2456 0.1246 0.0000
Co1 Co 0.0000 0.2534 0.2500
Co2 Co 0.0000 0.5000 0.2500
S1 S 0.2492 0.1248 0.3355
```

V: 740 Å³ per cell
electronic total energy: -5.04 eV per atom

---

No. 4
VASP calculation (PBE) on crystalline NaNbTe2AuS at its relaxed geometry.

```
data_NaNbTe2AuS
_chemical_formula_sum 'Na4 Nb4 Te8 Au4 S4'
_cell_length_a 3.8693
_cell_length_b 14.8596
_cell_length_c 10.0980
_cell_angle_alpha 90.00
_cell_angle_beta 90.00
_cell_angle_gamma 90.00
_symmetry_space_group_name_H-M 'C m c m'
_symmetry_Int_Tables_number 63
_symmetry_space_group_name_Hall '-C 2c 2'
loop_
_atom_site_label
_atom_site_type_symbol
_atom_site_fract_x
_atom_site_fract_y
_atom_site_fract_z
Na1 Na 0.0000 0.2468 0.2500
Nb1 Nb 0.0000 0.5000 0.0000
Te1 Te 0.0000 0.1431 0.5312
Au1 Au 0.0000 0.0380 0.7500
S1 S 0.0000 0.4329 0.7500
```

V: 581 Å³ per cell
electronic total energy: -4.56 eV per atom

---

No. 5
VASP calculation (PBE) on crystalline Tm3Mg3CdIn2 at its relaxed geometry.

```
data_Tm3Mg3CdIn2
_chemical_formula_sum 'Tm3 Mg3 Cd1 In2'
_cell_length_a 7.4817
_cell_length_b 7.4817
_cell_length_c 4.5599
_cell_angle_alpha 90.00
_cell_angle_beta 90.00
_cell_angle_gamma 120.00
_symmetry_space_group_name_H-M 'P -6 2 m'
_symmetry_Int_Tables_number 189
_symmetry_space_group_name_Hall 'P -6 -2'
loop_
_atom_site_label
_atom_site_type_symbol
_atom_site_fract_x
_atom_site_fract_y
_atom_site_fract_z
Tm1 Tm 0.0000 0.5712 0.0000
Mg1 Mg 0.0000 0.2406 0.5000
Cd1 Cd 0.0000 0.0000 0.0000
In1 In 0.3333 0.6667 0.5000
```

V: 221 Å³ per cell
electronic total energy: -3.05 eV per atom

---

No. 6
VASP calculation (PBE) on crystalline In2Au2Se3S at its relaxed geometry.

```
data_In2Au2Se3S
_chemical_formula_sum 'In4 Au4 Se6 S2'
_cell_length_a 13.4326
_cell_length_b 6.0477
_cell_length_c 6.0580
_cell_angle_alpha 90.00
_cell_angle_beta 116.15
_cell_angle_gamma 90.00
_symmetry_space_group_name_H-M 'C 1 2 1'
_symmetry_Int_Tables_number 5
loop_
_symmetry_equiv_pos_as_xyz
'x,y,z'
'-x,y,-z'
'x+1/2,y+1/2,z'
'-x+1/2,y+1/2,-z'
loop_
_atom_site_label
_atom_site_type_symbol
_atom_site_fract_x
_atom_site_fract_y
_atom_site_fract_z
In1 In 0.1239 0.0000 0.3775
Au1 Au 0.1178 0.4782 0.8515
Se1 Se 0.0000 0.7424 0.0000
Se2 Se 0.2503 0.2481 0.2434
S1 S 0.0000 0.2406 0.5000
```

V: 442 Å³ per cell
electronic total energy: -3.63 eV per atom

---

No. 7
VASP calculation (PBE) on crystalline YHoIn4Fe2 at its relaxed geometry.

```
data_YHoIn4Fe2
_chemical_formula_sum 'Y2 Ho2 In8 Fe4'
_cell_length_a 7.5639
_cell_length_b 4.2788
_cell_length_c 10.6095
_cell_angle_alpha 90.00
_cell_angle_beta 90.00
_cell_angle_gamma 90.00
_symmetry_space_group_name_H-M 'A m m 2'
_symmetry_Int_Tables_number 38
loop_
_symmetry_equiv_pos_as_xyz
'x,y,z'
'-x,-y,z'
'-x,y,z'
'x,-y,z'
'x,y+1/2,z+1/2'
'-x,-y+1/2,z+1/2'
'-x,y+1/2,z+1/2'
'x,-y+1/2,z+1/2'
loop_
_atom_site_label
_atom_site_type_symbol
_atom_site_fract_x
_atom_site_fract_y
_atom_site_fract_z
Y1 Y 0.0000 0.0000 0.0000
Ho1 Ho 0.5000 0.0000 0.8639
In1 In 0.2006 0.0000 0.2912
In2 In 0.3003 0.0000 0.5727
Fe1 Fe 0.0000 0.0000 0.7201
Fe2 Fe 0.5000 0.0000 0.1434
```

V: 343 Å³ per cell
electronic total energy: -4.99 eV per atom

---

No. 8
VASP calculation (PBE) on crystalline Nd2AlGaBr2 at its relaxed geometry.

```
data_Nd2AlGaBr2
_chemical_formula_sum 'Nd2 Al1 Ga1 Br2'
_cell_length_a 4.2624
_cell_length_b 4.2624
_cell_length_c 11.6015
_cell_angle_alpha 90.00
_cell_angle_beta 90.00
_cell_angle_gamma 120.00
_symmetry_space_group_name_H-M 'P 3 m 1'
_symmetry_Int_Tables_number 156
loop_
_symmetry_equiv_pos_as_xyz
'x,y,z'
'-y,x-y,z'
'-x+y,-x,z'
'-y,-x,z'
'-x+y,y,z'
'x,x-y,z'
loop_
_atom_site_label
_atom_site_type_symbol
_atom_site_fract_x
_atom_site_fract_y
_atom_site_fract_z
Nd1 Nd 0.0000 0.0000 0.0000
Nd2 Nd 0.0000 0.0000 0.3703
Al1 Al 0.6667 0.3333 0.1678
Ga1 Ga 0.3333 0.6667 0.2099
Br1 Br 0.3333 0.6667 0.8460
Br2 Br 0.6667 0.3333 0.5257
```

V: 183 Å³ per cell
electronic total energy: -4.47 eV per atom

---

No. 9
VASP calculation (PBE) on crystalline PrZn2Ga2 at its relaxed geometry.

```
data_PrZn2Ga2
_chemical_formula_sum 'Pr2 Zn4 Ga4'
_cell_length_a 4.2543
_cell_length_b 4.2543
_cell_length_c 10.7269
_cell_angle_alpha 90.00
_cell_angle_beta 90.00
_cell_angle_gamma 90.00
_symmetry_space_group_name_H-M 'I 4/m m m'
_symmetry_Int_Tables_number 139
_symmetry_space_group_name_Hall '-I 4 2'
loop_
_atom_site_label
_atom_site_type_symbol
_atom_site_fract_x
_atom_site_fract_y
_atom_site_fract_z
Pr1 Pr 0.0000 0.0000 0.0000
Zn1 Zn 0.0000 0.0000 0.3863
Ga1 Ga 0.0000 0.5000 0.2500
```

V: 194 Å³ per cell
electronic total energy: -3.14 eV per atom

---

No. 10
VASP calculation (PBE) on crystalline Pr2YSn3Ir2Pd at its relaxed geometry.

```
data_Pr2YSn3Ir2Pd
_chemical_formula_sum 'Pr4 Y2 Sn6 Ir4 Pd2'
_cell_length_a 4.1191
_cell_length_b 13.0648
_cell_length_c 7.5701
_cell_angle_alpha 90.00
_cell_angle_beta 90.00
_cell_angle_gamma 90.00
_symmetry_space_group_name_H-M 'A m m 2'
_symmetry_Int_Tables_number 38
loop_
_symmetry_equiv_pos_as_xyz
'x,y,z'
'-x,-y,z'
'-x,y,z'
'x,-y,z'
'x,y+1/2,z+1/2'
'-x,-y+1/2,z+1/2'
'-x,y+1/2,z+1/2'
'x,-y+1/2,z+1/2'
loop_
_atom_site_label
_atom_site_type_symbol
_atom_site_fract_x
_atom_site_fract_y
_atom_site_fract_z
Pr1 Pr 0.0000 0.2068 0.0000
Y1 Y 0.0000 0.0000 0.3805
Sn1 Sn 0.5000 0.0000 0.0513
Sn2 Sn 0.5000 0.1277 0.6616
Ir1 Ir 0.5000 0.1625 0.2935
Pd1 Pd 0.0000 0.0000 0.7872
```

V: 407 Å³ per cell
electronic total energy: -6.47 eV per atom

---

No. 11
VASP calculation (PBE) on crystalline ZrBeNi at its relaxed geometry.

```
data_ZrBeNi
_chemical_formula_sum 'Zr4 Be4 Ni4'
_cell_length_a 5.8996
_cell_length_b 5.8996
_cell_length_c 5.8996
_cell_angle_alpha 90.00
_cell_angle_beta 90.00
_cell_angle_gamma 90.00
_symmetry_space_group_name_H-M 'F -4 3 m'
_symmetry_Int_Tables_number 216
_symmetry_space_group_name_Hall 'F -4 2 3'
loop_
_atom_site_label
_atom_site_type_symbol
_atom_site_fract_x
_atom_site_fract_y
_atom_site_fract_z
Zr1 Zr 0.0000 0.0000 0.0000
Be1 Be 0.2500 0.2500 0.7500
Ni1 Ni 0.2500 0.2500 0.2500
```

V: 205 Å³ per cell
ΔE to the lowest computed polymorph: 566.4 meV/atom

---

No. 12
VASP calculation (PBE) on crystalline CsPrS2 at its relaxed geometry.

```
data_CsPrS2
_chemical_formula_sum 'Cs3 Pr3 S6'
_cell_length_a 4.2723
_cell_length_b 4.2723
_cell_length_c 24.2627
_cell_angle_alpha 90.00
_cell_angle_beta 90.00
_cell_angle_gamma 120.00
_symmetry_space_group_name_H-M 'R -3 m'
_symmetry_Int_Tables_number 166
_symmetry_space_group_name_Hall '-R 3 2"'
loop_
_atom_site_label
_atom_site_type_symbol
_atom_site_fract_x
_atom_site_fract_y
_atom_site_fract_z
Cs1 Cs 0.0000 0.0000 0.0000
Pr1 Pr 0.0000 0.0000 0.5000
S1 S 0.0000 0.0000 0.2296
```

V: 384 Å³ per cell
electronic total energy: -5.28 eV per atom